No. 1
Crystalline Sm3Tm2Mg3 at its relaxed geometry, computed with PBE.

The space group is Immm (No. 71) and the conventional cell measures 3.756, 5.491 and 22.463 Å, with angles of 90.00, 90.00 and 90.00 degrees. The inequivalent atoms are Sm at (0.000, 0.000, 0.000), Sm at (0.000, 0.500, 0.126), Tm at (0.000, 0.000, 0.236), Mg at (0.000, 0.000, 0.500) and Mg at (0.000, 0.500, 0.381).

Its formation energy is -0.062 eV per atom.

No. 2
Crystalline Sm2Tm4Mg at its relaxed geometry, computed with PBE.

The space group is P2_1/m (No. 11) and the conventional cell measures 6.016, 6.472 and 11.374 Å, with angles of 90.00, 105.20 and 90.00 degrees. The inequivalent atoms are Sm at (0.112, 0.250, 0.003), Sm at (0.216, 0.250, 0.576), Tm at (0.147, 0.501, 0.288), Tm at (0.357, 0.750, 0.559), Tm at (0.468, 0.750, 0.126) and Mg at (0.338, 0.750, 0.833).

Its formation energy is 0.107 eV per atom.

No. 3
Crystalline Sm2TmMg4 at its relaxed geometry, computed with PBE.

The space group is I4/mmm (No. 139) and the conventional cell measures 5.409, 5.409 and 14.503 Å, with angles of 90.00, 90.00 and 90.00 degrees. The inequivalent atoms are Sm at (0.000, 0.000, 0.249), Tm at (0.000, 0.000, 0.500) and Mg at (0.000, 0.500, 0.113).

Its formation energy is 0.130 eV per atom.

Question: What is the formula in the second record?
Answer: Sm2Tm4Mg